Entry 1:
This record from the Alexandria database describes a relaxed structure of TcPIr. The functional is GGA-PBE.

Results
The final energy comes out at -50.94 eV for the cell shown. For the energy of formation, the calculation gives -0.278 eV/atom. For the relative energy among the computed polymorphs, the calculation gives 0.081 eV/atom.

Cell lengths 4.269, 3.765, 5.552 Å; angles 90.00, 92.42, 90.00 degrees
Sites, in units of the cell vectors:
1 Tc 0.000 0.000 0.000
2 Tc 0.367 0.500 0.402
3 P 0.499 0.000 0.176
4 P 0.984 0.500 0.719
5 Ir 0.500 0.500 0.902
6 Ir 0.874 0.000 0.491

***

Entry 2:
This record from the Alexandria database describes a relaxed structure of PmTmCSe. The functional is GGA-PBE.

Results
The calculation puts the uncorrected formation energy at -1.07 eV per atom. The final energy comes out at -26.22 eV for the cell shown.

Cell lengths 7.126, 7.126, 7.126 Å; angles 30.60, 30.60, 30.60 degrees
Sites, in units of the cell vectors:
1 Pm 0.000 0.000 0.000
2 Tm 0.200 0.200 0.200
3 C 0.597 0.597 0.597
4 Se 0.773 0.773 0.773

***

Entry 3:
This record from the Alexandria database describes a relaxed structure of BaTaBeO2. The functional is GGA-PBE.

Results
The calculation puts the uncorrected formation energy at -1.35 eV per atom. The final energy comes out at -34.18 eV for the cell shown.

Cell lengths 4.095, 4.095, 4.928 Å; angles 90.00, 90.00, 90.00 degrees
Sites, in units of the cell vectors:
1 Ba 0.000 0.000 0.000
2 Ta 0.500 0.500 0.500
3 Be 0.500 0.500 0.000
4 O 0.000 0.500 0.500
5 O 0.500 0.000 0.500